## CsNbZnNi2 (GGA-PBE)

Data for a relaxed CsNbZnNi2 crystal.

ΔE_f in eV/f.u.: 6.87
Spin magnetization in Bohr magnetons per cell: 0.76
Total DFT energy (no corrections) in eV/atom: -3.3772
Theoretical density in g/cm³: 4.75

Unit cell a=4.714 b=4.714 c=6.430 alpha=90.00 beta=90.00 gamma=90.00
Space group P4/mmm (No. 123)
Unique sites:
Cs 0.000 0.000 0.000 (multiplicity 1)
Nb 0.000 0.000 0.500 (multiplicity 1)
Zn 0.500 0.500 0.000 (multiplicity 1)
Ni 0.000 0.500 0.500 (multiplicity 2)


## RbNaZnAg2 (GGA-PBE)

Data for a relaxed RbNaZnAg2 crystal.

ΔE_f in eV/f.u.: 0.64
Spin magnetization in Bohr magnetons per cell: 0.00
Total DFT energy (no corrections) in eV/atom: -1.7243
Theoretical density in g/cm³: 4.38

Unit cell a=5.190 b=5.190 c=5.479 alpha=90.00 beta=90.00 gamma=90.00
Space group P4/mmm (No. 123)
Unique sites:
Rb 0.000 0.000 0.000 (multiplicity 1)
Na 0.500 0.500 0.000 (multiplicity 1)
Zn 0.500 0.500 0.500 (multiplicity 1)
Ag 0.000 0.500 0.500 (multiplicity 2)


## Dy2Tm3Sc4 (GGA-PBE)

Data for a relaxed Dy2Tm3Sc4 crystal.

ΔE_f in eV/f.u.: 0.99
Spin magnetization in Bohr magnetons per cell: 0.00
Total DFT energy (no corrections) in eV/atom: -5.2167
Theoretical density in g/cm³: 6.71

Unit cell a=15.691 b=10.998 c=5.831 alpha=90.00 beta=95.73 gamma=90.00
Space group C2/c (No. 15)
Unique sites:
Dy 0.128 0.143 0.318 (multiplicity 8)
Tm 0.000 0.101 0.750 (multiplicity 4)
Tm 0.163 0.406 0.614 (multiplicity 8)
Sc 0.042 0.360 0.019 (multiplicity 8)
Sc 0.219 0.143 0.846 (multiplicity 8)


## Tb4HfSb5 (GGA-PBE)

Data for a relaxed Tb4HfSb5 crystal.

Spin magnetization in Bohr magnetons per cell: 0.00
Total DFT energy (no corrections) in eV/atom: -5.8790
Raw formation energy in eV/atom: -0.97
Theoretical density in g/cm³: 8.19

Unit cell a=4.341 b=4.341 c=30.617 alpha=90.00 beta=90.00 gamma=90.00
Space group I4/mmm (No. 139)
Unique sites:
Tb 0.000 0.000 0.100 (multiplicity 4)
Tb 0.000 0.000 0.302 (multiplicity 4)
Hf 0.000 0.000 0.500 (multiplicity 2)
Sb 0.000 0.000 0.000 (multiplicity 2)
Sb 0.000 0.000 0.200 (multiplicity 4)
Sb 0.000 0.000 0.404 (multiplicity 4)


Q: What is the formula in the third record?
A: Dy2Tm3Sc4